Version 1
This record from Alexandria via LeMat-Bulk describes Cs2PtAu after structural relaxation. The functional is PBE-GGA.

Computed properties:
Volume: 156 Å³ per cell
Symmetry: No. 225

a b c (Å): 6.0465 6.0465 6.0465
angles (deg): 60.00 60.00 60.00
Site moments in Bohr magnetons follow the coordinates.
Sites, in units of the cell vectors:
Cs: 0.7500 0.7500 0.7500  0.00
Cs: 0.2500 0.2500 0.2500  0.00
Au: 0.5000 0.5000 0.5000  0.08
Pt: 0.0000 0.0000 0.0000  0.66

=====

Version 2
This record from Alexandria via LeMat-Bulk describes Cs2PtAu after structural relaxation. The functional is PBE-GGA.

Computed properties:
Volume: 174 Å³ per cell
Symmetry: No. 166

a b c (Å): 4.2314 4.2314 11.4667
angles (deg): 79.37 79.37 60.00
Sites, in units of the cell vectors:
Au: 0.5000 0.5000 0.5000
Pt: 0.0000 0.0000 0.0000
Cs: 0.0920 0.0920 0.7240
Cs: 0.9080 0.9080 0.2760

=====

From most stable to least stable, the computed energies give version 1, version 2.

=====

Version 1
This record from Alexandria via LeMat-Bulk describes Cs2PtAu after structural relaxation. The functional is PBE-GGA.

Computed properties:
Volume: 436 Å³ per cell
Symmetry: No. 122

a b c (Å): 9.9757 9.9757 9.9757
angles (deg): 138.25 138.25 60.52
Sites, in units of the cell vectors:
Pt: 0.2500 0.7500 0.5000
Pt: 0.5000 0.5000 0.0000
Cs: 0.5624 0.1250 0.9374
Cs: 0.3750 0.4376 0.5626
Cs: 0.1876 0.6250 0.0626
Cs: 0.8750 0.8124 0.4374
Au: 0.0000 0.0000 0.0000
Au: 0.7500 0.2500 0.5000

=====

Version 2
This record from Alexandria via LeMat-Bulk describes Cs2PtAu after structural relaxation. The functional is PBE-GGA.

Computed properties:
Volume: 191 Å³ per cell
Symmetry: No. 8

a b c (Å): 4.6918 4.6903 10.4016
angles (deg): 76.89 76.97 59.99
Sites, in units of the cell vectors:
Au: 0.4691 0.2324 0.8294
Cs: 0.8809 0.6440 0.5943
Cs: 0.7246 0.4864 0.0643
Pt: 0.1357 0.8992 0.8294

=====

From most stable to least stable, the computed energies give version 2, version 1.

=====

Version 1
This record from Alexandria via LeMat-Bulk describes Cs2PtAu2 after structural relaxation. The functional is PBE-GGA.

Computed properties:
Volume: 299 Å³ per cell
Symmetry: No. 127

a b c (Å): 7.2389 7.2389 5.7041
angles (deg): 90.00 90.00 90.00
Sites, in units of the cell vectors:
Cs: 0.8214 0.3214 0.5000
Cs: 0.6786 0.8214 0.5000
Cs: 0.3214 0.1786 0.5000
Cs: 0.1786 0.6786 0.5000
Au: 0.3552 0.8552 0.0000
Au: 0.6448 0.1448 0.0000
Au: 0.8552 0.6448 0.0000
Au: 0.1448 0.3552 0.0000
Pt: 0.0000 0.0000 0.0000
Pt: 0.5000 0.5000 0.0000

=====

Version 2
This record from Alexandria via LeMat-Bulk describes Cs2PtAu2 after structural relaxation. The functional is PBE-GGA.

Computed properties:
Volume: 165 Å³ per cell
Symmetry: No. 139

a b c (Å): 3.8847 3.8847 11.2591
angles (deg): 80.07 80.07 90.00
Sites, in units of the cell vectors:
Au: 0.7500 0.2500 0.5000
Au: 0.2500 0.7500 0.5000
Cs: 0.4007 0.4007 0.1986
Cs: 0.5993 0.5993 0.8014
Pt: 0.0000 0.0000 0.0000

=====

From most stable to least stable, the computed energies give version 1, version 2.

=====

Version 1
This record from Alexandria via LeMat-Bulk describes Cs2Pt2Au after structural relaxation. The functional is PBE-GGA.

Computed properties:
Volume: 211 Å³ per cell
Symmetry: No. 166

a b c (Å): 4.7048 4.7048 11.3425
angles (deg): 78.03 78.03 60.00
Sites, in units of the cell vectors:
Cs: 0.5775 0.5775 0.2674
Cs: 0.4225 0.4225 0.7326
Au: 0.0000 0.0000 0.0000
Pt: 0.3292 0.3292 0.0124
Pt: 0.6708 0.6708 0.9876

=====

Version 2
This record from Alexandria via LeMat-Bulk describes Cs2Pt2Au after structural relaxation. The functional is PBE-GGA.

Computed properties:
Volume: 283 Å³ per cell
Symmetry: No. 127

a b c (Å): 7.0276 7.0276 5.7334
angles (deg): 90.00 90.00 90.00
Sites, in units of the cell vectors:
Cs: 0.8181 0.3181 0.5000
Cs: 0.6819 0.8181 0.5000
Cs: 0.3181 0.1819 0.5000
Cs: 0.1819 0.6819 0.5000
Au: 0.5000 0.5000 0.0000
Au: 0.0000 0.0000 0.0000
Pt: 0.6305 0.1305 0.0000
Pt: 0.3695 0.8695 0.0000
Pt: 0.1305 0.3695 0.0000
Pt: 0.8695 0.6305 0.0000

=====

From most stable to least stable, the computed energies give version 1, version 2.